The following is a DFT calculation (PBE) of crystalline Sc7As at its relaxed geometry.

abc: 6.344 6.344 6.344
angles: 60.00 60.00 60.00
Last column: magnetic moment on the atom in μB.
Sites, in units of the cell vectors:
Sc: 0.500 0.500 0.000  0.20
Sc: 0.500 0.000 0.500  0.20
Sc: 0.500 0.000 0.000  0.20
Sc: 0.000 0.000 0.500  0.20
Sc: 0.000 0.500 0.000  0.20
Sc: 0.000 0.500 0.500  0.20
Sc: 0.500 0.500 0.500  0.00
As: 0.000 0.000 0.000  -0.02

Space-group type   No. 225
Crystal system   cubic
Energy of formation from the pure elements   -0.17 eV per atom
Volume   181 Å³ per cell



The following is a DFT calculation (PBE) of crystalline Ca3TaCo at its relaxed geometry.

abc: 5.578 5.578 5.578
angles: 90.00 90.00 90.00
Last column: magnetic moment on the atom in μB.
Sites, in units of the cell vectors:
Ca: 0.000 0.500 0.000  0.01
Ca: 0.000 0.000 0.500  0.01
Ca: 0.500 0.000 0.000  0.01
Co: 0.500 0.500 0.500  2.14
Ta: 0.000 0.000 0.000  0.19

ΔE to the lowest computed polymorph   54.9 kJ per mole of atoms
Space-group type   No. 221
Crystal system   cubic
Energy of formation from the pure elements   1.59 eV per atom
Volume   174 Å³ per cell



The following is a DFT calculation (PBE) of crystalline Al7Ag12Au at its relaxed geometry.

abc: 7.437 7.437 7.437
angles: 106.06 106.06 106.06
Sites, in units of the cell vectors:
Al: 0.097 0.672 0.975
Al: 0.328 0.025 0.903
Al: 0.025 0.903 0.328
Al: 0.500 0.500 0.500
Al: 0.975 0.097 0.672
Al: 0.672 0.975 0.097
Al: 0.903 0.328 0.025
Ag: 0.769 0.339 0.646
Ag: 0.661 0.354 0.231
Ag: 0.405 0.032 0.297
Ag: 0.968 0.703 0.595
Ag: 0.354 0.231 0.661
Ag: 0.703 0.595 0.968
Ag: 0.297 0.405 0.032
Ag: 0.646 0.769 0.339
Ag: 0.032 0.297 0.405
Ag: 0.595 0.968 0.703
Ag: 0.339 0.646 0.769
Ag: 0.231 0.661 0.354
Au: 0.000 0.000 0.000

Space-group type   No. 148
Crystal system   trigonal
Energy of formation from the pure elements   -0.05 eV per atom
Volume   351 Å³ per cell



The following is a DFT calculation (PBE) of crystalline LiLa3Ga2O9 at its relaxed geometry.

abc: 5.467 5.467 6.861
angles: 90.00 90.00 120.00
Last column: magnetic moment on the atom in μB.
Sites, in units of the cell vectors:
Li: 0.000 0.000 0.500  0.00
La: 0.333 0.667 0.651  -0.02
La: 0.000 0.000 0.000  -0.01
La: 0.667 0.333 0.349  -0.02
Ga: 0.333 0.667 0.163  0.02
Ga: 0.667 0.333 0.837  0.02
O: 0.831 0.169 0.668  0.27
O: 0.831 0.662 0.668  0.27
O: 0.338 0.169 0.668  0.27
O: 0.662 0.831 0.332  0.27
O: 0.169 0.338 0.332  0.27
O: 0.169 0.831 0.332  0.27
O: 0.500 0.000 0.000  0.08
O: 0.000 0.500 0.000  0.08
O: 0.500 0.500 0.000  0.08

Space-group type   No. 164
Crystal system   trigonal
Volume   178 Å³ per cell
Energy relative to the elements, uncorrected   -2.3949 eV/atom



The following is a DFT calculation (PBE) of crystalline KSbMo2 at its relaxed geometry.

abc: 5.524 5.524 5.524
angles: 135.48 135.48 64.79
Sites, in units of the cell vectors:
K: 0.750 0.250 0.500
Mo: 0.000 0.000 0.000
Mo: 0.500 0.500 0.000
Sb: 0.250 0.750 0.500

Space-group type   No. 139
Crystal system   tetragonal
Volume   82 Å³ per cell
Energy relative to the elements, uncorrected   1.3111 eV/atom



The following is a DFT calculation (PBE) of crystalline Ac6NiPdPt2 at its relaxed geometry.

abc: 7.623 7.624 8.288
angles: 62.62 62.61 59.97
Sites, in units of the cell vectors:
Ac: 0.590 0.235 0.250
Ac: 0.235 0.925 0.249
Ac: 0.926 0.590 0.250
Ac: 0.413 0.730 0.754
Ac: 0.730 0.103 0.754
Ac: 0.103 0.413 0.755
Ni: 0.328 0.327 0.017
Pd: 0.825 0.826 0.523
Pt: 0.508 0.508 0.477
Pt: 0.005 0.005 0.986

Space-group type   No. 146
Crystal system   trigonal
Energy of formation from the pure elements   -0.67 eV per atom
Volume   353 Å³ per cell



The following is a DFT calculation (PBE) of crystalline La3Nd2Te8 at its relaxed geometry.

abc: 7.827 9.159 9.168
angles: 119.97 106.88 90.00
Sites, in units of the cell vectors:
La: 0.500 0.000 0.000
La: 0.000 0.262 0.000
La: 0.000 0.738 0.000
Nd: 0.339 0.254 0.509
Nd: 0.661 0.746 0.491
Te: 0.899 0.622 0.243
Te: 0.101 0.378 0.757
Te: 0.927 0.122 0.244
Te: 0.073 0.878 0.756
Te: 0.583 0.632 0.751
Te: 0.583 0.118 0.751
Te: 0.417 0.882 0.249
Te: 0.417 0.368 0.249

Space-group type   No. 12
Crystal system   monoclinic
Volume   536 Å³ per cell
Energy relative to the elements, uncorrected   -1.3391 eV/atom



The following is a DFT calculation (PBE) of crystalline InOs2Se2 at its relaxed geometry.

abc: 4.109 4.109 7.032
angles: 73.01 73.01 90.00
Sites, in units of the cell vectors:
Os: 0.750 0.250 0.500
Os: 0.250 0.750 0.500
Se: 0.355 0.355 0.290
Se: 0.645 0.645 0.710
In: 0.000 0.000 0.000

ΔE to the lowest computed polymorph   0.0 kJ per mole of atoms
Space-group type   No. 139
Crystal system   tetragonal
Volume   108 Å³ per cell
Energy relative to the elements, uncorrected   0.2903 eV/atom



The following is a DFT calculation (PBE) of crystalline HoCu4Si at its relaxed geometry.

abc: 5.005 5.005 5.005
angles: 60.00 60.00 60.00
Sites, in units of the cell vectors:
Si: 0.250 0.250 0.250
Ho: 0.000 0.000 0.000
Cu: 0.625 0.625 0.126
Cu: 0.625 0.126 0.625
Cu: 0.625 0.625 0.625
Cu: 0.126 0.625 0.625

Space-group type   No. 216
Crystal system   cubic
Volume   89 Å³ per cell
Energy relative to the elements, uncorrected   -0.1340 eV/atom



The following is a DFT calculation (PBE) of crystalline UBr3Cl at its relaxed geometry.

abc: 4.257 9.502 10.078
angles: 90.00 90.00 90.00
Last column: magnetic moment on the atom in μB.
Sites, in units of the cell vectors:
U: 0.500 0.260 0.750  2.12
U: 0.500 0.740 0.250  2.12
Br: 0.000 0.260 0.941  -0.04
Br: 0.000 0.740 0.059  -0.04
Br: 0.000 0.260 0.559  -0.04
Br: 0.000 0.740 0.441  -0.04
Br: 0.500 0.978 0.750  -0.06
Br: 0.500 0.022 0.250  -0.06
Cl: 0.500 0.523 0.750  -0.05
Cl: 0.500 0.477 0.250  -0.05

ΔE to the lowest computed polymorph   0.0 kJ per mole of atoms
Space-group type   No. 51
Crystal system   orthorhombic
Volume   408 Å³ per cell
Energy relative to the elements, uncorrected   -1.3801 eV/atom



The following is a DFT calculation (PBE) of crystalline HgIrPtS2 at its relaxed geometry.

abc: 4.579 5.236 4.579
angles: 90.00 90.00 90.00
Last column: magnetic moment on the atom in μB.
Sites, in units of the cell vectors:
S: 0.000 0.000 0.500  0.09
S: 0.500 0.000 0.000  0.09
Ir: 0.500 0.500 0.500  1.01
Hg: 0.000 0.500 0.000  -0.02
Pt: 0.000 0.000 0.000  -0.01

Space-group type   No. 123
Crystal system   tetragonal
Volume   110 Å³ per cell
Energy relative to the elements, uncorrected   1.2255 eV/atom



The following is a DFT calculation (PBE) of crystalline Hg2BRuRh at its relaxed geometry.

abc: 4.517 4.013 4.517
angles: 90.00 90.00 90.00
Last column: magnetic moment on the atom in μB.
Sites, in units of the cell vectors:
Ru: 0.000 0.500 0.000  0.26
B: 0.000 0.000 0.000  0.00
Rh: 0.500 0.500 0.500  0.15
Hg: 0.000 0.000 0.500  0.00
Hg: 0.500 0.000 0.000  0.00

Space-group type   No. 123
Crystal system   tetragonal
Energy of formation from the pure elements   0.73 eV per atom
Volume   82 Å³ per cell